{
  "formula": "CdMo2F11",
  "functional": "PBE+U",
  "state": "relaxed",
  "mass_density_g_cm3": 4.18,
  "total_energy_ev_per_atom": -4.842,
  "magnetic_moment_mub_per_cell": 6.00,
  "space_group": "No. 72",
  "lattice_angstrom": [[-3.9049, -2.2379, -6.3191], [-6.3977, -5.0836, 0.9915], [-6.7143, 4.2624, -2.1228]],
  "species": ["Cd", "Cd", "Mo", "Mo", "Mo", "Mo", "F", "F", "F", "F", "F", "F", "F", "F", "F", "F", "F", "F", "F", "F", "F", "F", "F", "F", "F", "F", "F", "F"],
  "fractional_positions": [[0.7500, 0.7500, 0.7500], [0.2500, 0.2500, 0.2500], [0.6422, 0.6799, 0.3201], [0.3578, 0.3201, 0.6799], [0.8578, 0.1799, 0.8201], [0.1422, 0.8201, 0.1799], [0.6332, 0.6975, 0.5581], [0.3668, 0.3025, 0.4419], [0.1112, 0.5581, 0.6975], [0.8668, 0.9419, 0.8025], [0.8888, 0.4419, 0.3025], [0.1332, 0.0581, 0.1975], [0.3888, 0.8025, 0.9419], [0.6112, 0.1975, 0.0581], [0.5000, 0.5000, 0.5000], [0.0000, 0.0000, 0.0000], [0.8676, 0.7844, 0.2156], [0.1324, 0.2156, 0.7844], [0.6324, 0.2844, 0.7156], [0.3676, 0.7156, 0.2844], [0.4587, 0.9461, 0.3289], [0.5413, 0.0539, 0.6711], [0.2663, 0.3289, 0.9461], [0.0413, 0.1711, 0.5539], [0.7337, 0.6711, 0.0539], [0.9587, 0.8289, 0.4461], [0.2337, 0.5539, 0.1711], [0.7663, 0.4461, 0.8289]]
}

---

{
  "formula": "Cd2MoF2",
  "functional": "PBE+U",
  "state": "relaxed",
  "mass_density_g_cm3": 6.52,
  "total_energy_ev_per_atom": -3.334,
  "magnetic_moment_mub_per_cell": 4.28,
  "space_group": "No. 139",
  "lattice_angstrom": [[-0.5015, 0.3651, -3.5754], [0.7839, -3.5120, -0.4686], [-6.5636, -3.1737, -1.2450]],
  "species": ["Mo", "F", "F", "Cd", "Cd"],
  "fractional_positions": [[0.0000, 0.0000, 0.0000], [0.7500, 0.2500, 0.5000], [0.2500, 0.7500, 0.5000], [0.3578, 0.3578, 0.2844], [0.6422, 0.6422, 0.7156]]
}

---

{
  "formula": "Cd3MoF",
  "functional": "PBE+U",
  "state": "relaxed",
  "mass_density_g_cm3": 6.86,
  "total_energy_ev_per_atom": -2.323,
  "magnetic_moment_mub_per_cell": 4.02,
  "space_group": "No. 221",
  "lattice_angstrom": [[-0.6511, 2.6471, -3.9306], [1.1708, -3.7547, -2.7226], [-4.5920, -1.3327, -0.1369]],
  "species": ["Mo", "F", "Cd", "Cd", "Cd"],
  "fractional_positions": [[0.5000, 0.5000, 0.5000], [0.0000, 0.0000, 0.0000], [0.0000, 0.5000, 0.0000], [0.0000, 0.0000, 0.5000], [0.5000, 0.0000, 0.0000]]
}